1.
First-principles (PBE-GGA) data for a relaxed Ti2V2Mo crystal, as listed in the Alexandria database.

Computed properties:
Space group: P4/mbm, No. 127
Formation enthalpy at 0 K: 1.2 eV/f.u.
Total magnetic moment: 0.00 μB per formula unit
Uncorrected energy: -8.740 eV/atom
ΔE to the lowest computed polymorph: 263 meV/atom

Unit cell a=6.7059 b=6.7059 c=3.5018 alpha=90.00 beta=90.00 gamma=90.00
Closest atoms and distances in Å follow each position.
Element x y z (fractional)
Mo 0.5000 0.5000 0.0000  4 V 2.57
Mo 0.0000 0.0000 0.0000  4 V 2.57
V 0.1461 0.3539 0.0000  6 Ti 2.55-2.69, 2 Mo 2.57, 1 V 2.77
V 0.8539 0.6461 0.0000  6 Ti 2.55-2.69, 2 Mo 2.57, 1 V 2.77
V 0.6461 0.1461 0.0000  6 Ti 2.55-2.69, 2 Mo 2.57, 1 V 2.77
V 0.3539 0.8539 0.0000  6 Ti 2.55-2.69, 2 Mo 2.57, 1 V 2.77
Ti 0.6587 0.8413 0.5000  6 V 2.55-2.69
Ti 0.1587 0.6587 0.5000  6 V 2.55-2.69
Ti 0.3413 0.1587 0.5000  6 V 2.55-2.69
Ti 0.8413 0.3413 0.5000  6 V 2.55-2.69


2.
First-principles (PBE-GGA) data for a relaxed TiVMo4 crystal, as listed in the Alexandria database.

Computed properties:
Space group: P-1, No. 2
Formation enthalpy at 0 K: -0.9 eV/f.u.
Total magnetic moment: 0.00 μB per formula unit
Uncorrected energy: -10.204 eV/atom
ΔE to the lowest computed polymorph: 0 meV/atom

Unit cell a=3.1295 b=5.2011 c=6.8332 alpha=110.26 beta=103.59 gamma=107.21
Closest atoms and distances in Å follow each position.
Element x y z (fractional)
Mo 0.3356 0.5031 0.6713  4 Mo 2.70-2.73, 2 V 2.70-2.71, 2 Ti 2.73-2.74
Mo 0.8295 0.9966 0.1644  4 Mo 2.66-2.70, 2 V 2.71-2.72, 2 Ti 2.72-2.74
Mo 0.1662 0.9980 0.8393  4 Mo 2.66-2.70, 2 V 2.71-2.72, 2 Ti 2.72-2.74
Mo 0.6601 0.4915 0.3324  4 Mo 2.70-2.73, 2 V 2.70-2.71, 2 Ti 2.73-2.74
Ti 0.4978 0.9973 0.5019  8 Mo 2.72-2.74
V 0.9978 0.4973 0.0019  8 Mo 2.70-2.72


3.
First-principles (PBE-GGA) data for a relaxed Ti4V2Mo5 crystal, as listed in the Alexandria database.

Computed properties:
Space group: P-1, No. 2
Formation enthalpy at 0 K: -0.8 eV/f.u.
Total magnetic moment: 0.00 μB per formula unit
Uncorrected energy: -9.526 eV/atom

Unit cell a=2.7816 b=6.7900 c=9.2205 alpha=89.99 beta=85.45 gamma=80.92
Closest atoms and distances in Å follow each position.
Element x y z (fractional)
V 0.1197 0.2752 0.8161  3 Mo 2.56-2.73, 3 Ti 2.73-2.79, 2 V 2.78
V 0.8803 0.7248 0.1839  3 Mo 2.56-2.73, 3 Ti 2.73-2.79, 2 V 2.78
Ti 0.3914 0.8163 0.4492  4 Mo 2.57-2.80, 1 V 2.73, 3 Ti 2.78-2.83
Ti 0.6086 0.1837 0.5508  4 Mo 2.57-2.80, 1 V 2.73, 3 Ti 2.78-2.83
Ti 0.6871 0.3565 0.0920  3 Mo 2.61-2.76, 3 Ti 2.72-2.78, 2 V 2.74-2.79
Ti 0.3129 0.6435 0.9080  3 Mo 2.61-2.76, 3 Ti 2.72-2.78, 2 V 2.74-2.79
Mo 0.2062 0.4561 0.3616  1 V 2.56, 3 Ti 2.71-2.76, 4 Mo 2.74-2.78
Mo 0.9405 0.9123 0.7284  3 Ti 2.57-2.80, 4 Mo 2.72-2.78, 1 V 2.73
Mo 0.7938 0.5439 0.6384  1 V 2.56, 3 Ti 2.71-2.76, 4 Mo 2.74-2.78
Mo 0.0595 0.0877 0.2716  3 Ti 2.57-2.80, 4 Mo 2.72-2.78, 1 V 2.73
Mo 0.5000 0.0000 0.0000  2 V 2.67, 2 Ti 2.71, 4 Mo 2.72-2.78


> What is the uncorrected energy in the third record?

-9.526 eV/atom